# 1
Here is crystalline MgBPt3 at its relaxed geometry from Alexandria via LeMat-Bulk. Energies are from PBE.

Structure (POSCAR):
```
MgBPt3
1.0
3.9235 0.0000 0.0000
0.0000 3.9235 0.0000
0.0000 0.0000 6.4958
Mg B Pt
1 1 3
direct
0.0000 0.0000 0.0000
0.5000 0.5000 0.4088
0.0000 0.0000 0.6088
0.0000 0.5000 0.2979
0.5000 0.0000 0.2979
```

Summary:
* formation enthalpy at 0 K: 0.70 eV per formula unit
* energy relative to the lowest polymorph listed for this composition: 725 meV/atom
* energy: -5.14 eV per atom

=====

# 2
Here is crystalline MgBPt3 at its relaxed geometry from Alexandria via LeMat-Bulk. Energies are from PBE.

Structure (POSCAR):
```
MgBPt3
1.0
5.2153 0.0000 0.0000
0.0000 7.3961 0.0000
0.0000 0.0000 8.1252
Mg B Pt
4 4 12
direct
0.0000 0.0000 0.0000
0.0000 0.5000 0.0000
0.5000 0.0000 0.5000
0.5000 0.5000 0.5000
0.0073 0.2500 0.4685
0.4927 0.7500 0.9685
0.5073 0.2500 0.0315
0.9927 0.7500 0.5315
0.0101 0.5672 0.3382
0.0101 0.9328 0.3382
0.2196 0.7500 0.7726
0.2804 0.2500 0.2726
0.4899 0.0672 0.8382
0.4899 0.4328 0.8382
0.5101 0.5672 0.1618
0.5101 0.9328 0.1618
0.7196 0.7500 0.7274
0.7804 0.2500 0.2274
0.9899 0.0672 0.6618
0.9899 0.4328 0.6618
```

Summary:
* formation enthalpy at 0 K: -1.67 eV per formula unit
* energy relative to the lowest polymorph listed for this composition: 250 meV/atom
* energy: -5.61 eV per atom

=====

- The highest energy relative to the lowest polymorph listed for this composition belongs to which entry?
  number 1

=====

- What is the formation enthalpy at 0 K in the first record?
  0.70 eV per formula unit

=====

- Among the records above, which one has the lowest energy relative to the lowest polymorph listed for this composition?
  number 2

=====

What did the first record say?
Here is crystalline MgBPt3 at its relaxed geometry from Alexandria via LeMat-Bulk. Energies are from PBE.

Structure (POSCAR):
```
MgBPt3
1.0
3.9235 0.0000 0.0000
0.0000 3.9235 0.0000
0.0000 0.0000 6.4958
Mg B Pt
1 1 3
direct
0.0000 0.0000 0.0000
0.5000 0.5000 0.4088
0.0000 0.0000 0.6088
0.0000 0.5000 0.2979
0.5000 0.0000 0.2979
```

Summary:
* formation enthalpy at 0 K: 0.70 eV per formula unit
* energy relative to the lowest polymorph listed for this composition: 725 meV/atom
* energy: -5.14 eV per atom